An optimized crystal structure of Ag2Au. Source: Alexandria via LeMat-Bulk, functional GGA-PBEsol.

a = 10.660 Å, b = 2.848 Å, c = 6.846 Å
α = 90.00°, β = 105.83°, γ = 90.00°
Space group Cm (No. 8)
Unique sites:
Ag 0.000 0.000 0.000
Ag 0.055 0.000 0.612
Ag 0.167 0.500 0.334
Ag 0.333 0.000 0.666
Au 0.222 0.500 0.943
Au 0.390 0.000 0.280


An optimized crystal structure of InIr2Rh. Source: Alexandria via LeMat-Bulk, functional GGA-PBEsol.

a = 5.597 Å, b = 7.666 Å, c = 2.806 Å
α = 90.00°, β = 90.00°, γ = 90.00°
Space group Cmmm (No. 65)
Unique sites:
In 0.000 0.000 0.000
Ir 0.250 0.250 0.500
Rh 0.000 0.500 0.000


An optimized crystal structure of MgAg. Source: Alexandria via LeMat-Bulk, functional GGA-PBEsol.

a = 10.055 Å, b = 3.208 Å, c = 4.699 Å
α = 90.00°, β = 108.60°, γ = 90.00°
Space group C2/m (No. 12)
Unique sites:
Mg 0.113 0.000 0.331
Ag 0.131 0.500 0.845


Number 1: spin magnetization 0.00 μB per formula unit, uncorrected energy -42.6 eV/cell, V 200.0 Å³ per cell. Number 2: spin magnetization 0.00 μB per formula unit, uncorrected energy -61.1 eV/cell, V 120.4 Å³ per cell. Number 3: spin magnetization 0.00 μB per formula unit, uncorrected energy -21.7 eV/cell, V 143.6 Å³ per cell.